# TeBrN2F

TeBrN2F after structural relaxation (GGA-PBE, the Alexandria database).

The structure belongs to space group P4/mmm (No. 123); the cell edges are 4.235, 4.235 and 4.158 Å and the angles 90.00°, 90.00° and 90.00°. The inequivalent atoms are Te at (0.000, 0.000, 0.000), Br at (0.500, 0.500, 0.500), N at (0.000, 0.500, 0.500) and F at (0.500, 0.500, 0.000).

The value obtained for the energy above the most stable polymorph in this dataset is 578 meV/atom. The spin magnetization comes out at 0.00 μB/f.u. The uncorrected formation energy comes out at 1627 meV/atom.


# Ca2AgTe

Ca2AgTe after structural relaxation (GGA-PBE, the Alexandria database).

The structure belongs to space group Amm2 (No. 38); the cell edges are 4.587, 4.240 and 11.972 Å and the angles 90.00°, 90.00° and 90.00°. The inequivalent atoms are Ca at (0.000, 0.000, 0.000), Ca at (0.500, 0.000, 0.280), Ag at (0.500, 0.000, 0.537) and Te at (0.000, 0.000, 0.725).

The spin magnetization comes out at 0.00 μB/f.u. The uncorrected formation energy comes out at -821 meV/atom.


# AlTlRu2

AlTlRu2 after structural relaxation (GGA-PBE, the Alexandria database).

The structure belongs to space group R3m (No. 160, hexagonal axes); the cell edges are 2.9575, 2.9575 and 26.7378 Å and the angles 90.00°, 90.00° and 120.00°. The inequivalent atoms are Al at (0.0000, 0.0000, 0.0000), Tl at (0.0000, 0.0000, 0.2375), Ru at (0.0000, 0.0000, 0.4807) and Ru at (0.0000, 0.0000, 0.7396).

The value obtained for the energy above the most stable polymorph in this dataset is 243 meV/atom. The spin magnetization comes out at 0.00 μB/f.u.


# MgSiMo4

MgSiMo4 after structural relaxation (GGA-PBE, the Alexandria database).

The structure belongs to space group F-43m (No. 216); the cell edges are 7.419, 7.419 and 7.419 Å and the angles 90.00°, 90.00° and 90.00°. The inequivalent atoms are Mg at (0.000, 0.000, 0.000), Si at (0.250, 0.250, 0.750) and Mo at (0.125, 0.125, 0.375).

The spin magnetization comes out at 0.00 μB/f.u. The uncorrected formation energy comes out at 468 meV/atom.


# Pa4RuPt3

Pa4RuPt3 after structural relaxation (GGA-PBE, the Alexandria database).

The structure belongs to space group Pmm2 (No. 25); the cell edges are 3.796, 4.293 and 10.916 Å and the angles 90.00°, 90.00° and 90.00°. The inequivalent atoms are Pa at (0.000, 0.000, 0.000), Pa at (0.000, 0.500, 0.275), Pa at (0.500, 0.000, 0.488), Pa at (0.500, 0.500, 0.775), Ru at (0.500, 0.000, 0.241), Pt at (0.000, 0.000, 0.732), Pt at (0.000, 0.500, 0.543) and Pt at (0.500, 0.500, 0.043).

The spin magnetization comes out at 0.00 μB/f.u. As for the total energy: -8.98 eV/atom.


# TmFeNi3

TmFeNi3 after structural relaxation (GGA-PBE, the Alexandria database).

The structure belongs to space group Imma (No. 74); the cell edges are 4.911, 6.764 and 8.606 Å and the angles 90.00°, 90.00° and 90.00°. The inequivalent atoms are Tm at (0.000, 0.250, 0.005), Fe at (0.000, 0.000, 0.500), Ni at (0.000, 0.250, 0.313) and Ni at (0.250, 0.057, 0.750).

The spin magnetization comes out at 3.56 μB/f.u. As for the total energy: -6.21 eV/atom.


# Tm8Os2Pt

Tm8Os2Pt after structural relaxation (GGA-PBE, the Alexandria database).

The structure belongs to space group Cm (No. 8); the cell edges are 8.465, 12.349 and 5.663 Å and the angles 90.00°, 107.44° and 90.00°. The inequivalent atoms are Tm at (0.000, 0.000, 0.000), Tm at (0.067, 0.369, 0.792), Tm at (0.160, 0.131, 0.601), Tm at (0.234, 0.500, 0.385), Tm at (0.366, 0.222, 0.192), Os at (0.362, 0.312, 0.691) and Pt at (0.369, 0.000, 0.052).

The value obtained for the energy above the most stable polymorph in this dataset is 51 meV/atom. The spin magnetization comes out at 0.00 μB/f.u.


# KCaPb2

KCaPb2 after structural relaxation (GGA-PBE, the Alexandria database).

The structure belongs to space group I-42d (No. 122); the cell edges are 9.234, 9.234 and 6.897 Å and the angles 90.00°, 90.00° and 90.00°. The inequivalent atoms are K at (0.000, 0.000, 0.000), Ca at (0.000, 0.000, 0.500) and Pb at (0.229, 0.250, 0.625).

The spin magnetization comes out at 0.00 μB/f.u. As for the total energy: -2.59 eV/atom.